DFT (PBE) results for a geometry-optimized Y4TlTe3 structure.

a = 4.3668 Å, b = 7.6114 Å, c = 7.6114 Å
α = 109.17°, β = 90.00°, γ = 90.00°
Closest atoms and distances in Å follow each position.
Sites, in units of the cell vectors:
Y 0.0000 0.7593 0.7593  2 Tl 3.05, 4 Te 3.10-3.16
Y 0.5000 0.7569 0.2431  1 Tl 3.02, 5 Te 3.10-3.19
Te 0.0000 0.5000 0.0000  6 Y 3.10
Te 0.0000 0.0000 0.5000  6 Y 3.10
Tl 0.5000 0.0000 0.0000  6 Y 3.02-3.05
Y 0.0000 0.2407 0.2407  2 Tl 3.05, 4 Te 3.10-3.16
Te 0.5000 0.5000 0.5000  6 Y 3.16-3.19
Y 0.5000 0.2431 0.7569  1 Tl 3.02, 5 Te 3.10-3.19

Summary:
* formation energy from raw total energies: -1.1085 eV/atom
* N(E_F): 3.0 states/eV/cell
* symmetry: Cmmm
* M_tot: 0.000 Bohr magnetons per cell